PBE-GGA ZrCuMo2, relaxed; energy = -8.20 eV/atom; DOS(E_F) = 2.6 states/eV/cell; magnetization = 0.00 μB/cell; energy relative to the elements = 8.71 kcal/mol of atoms
1.0
9.9642 -0.0037 -0.0022
9.5706 2.7727 -0.0022
9.5706 1.3566 2.4182
Cu Mo Zr
1 2 1
Direct
0.7457 0.7457 0.7457
0.0036 0.0036 0.0036
0.2545 0.2545 0.2545
0.4963 0.4963 0.4963

***

PBE-GGA ZrCuMo2, relaxed; energy = -8.49 eV/atom; DOS(E_F) = 2.5 states/eV/cell; magnetization = 0.00 μB/cell; energy relative to the elements = 2.02 kcal/mol of atoms
1.0
3.3472 0.0000 0.0000
0.0000 4.3325 0.0000
0.0000 0.0000 4.5452
Zr Mo Cu
1 2 1
Direct
0.5000 0.0000 0.5000
0.0000 0.0000 0.0000
0.5000 0.5000 0.0000
0.0000 0.5000 0.5000

***

PBE-GGA Zr2Cu2Mo, relaxed; energy = -7.13 eV/atom; DOS(E_F) = 15.4 states/eV/cell; magnetization = 0.00 μB/cell; energy relative to the elements = 2.11 kcal/mol of atoms
1.0
-5.7279 3.5799 -2.9462
-4.6315 -4.2058 3.8942
0.0905 2.0993 2.3749
Zr Cu Mo
4 4 2
Direct
0.8177 0.3177 0.5000
0.1823 0.6823 0.5000
0.3177 0.1823 0.5000
0.6823 0.8177 0.5000
0.1172 0.3828 0.0000
0.3828 0.8828 0.0000
0.6172 0.1172 0.0000
0.8828 0.6172 0.0000
0.5000 0.5000 0.0000
0.0000 0.0000 0.0000

***

PBE-GGA ZrCuMo, relaxed; energy = -7.57 eV/atom; DOS(E_F) = 3.0 states/eV/cell; magnetization = 0.00 μB/cell; energy relative to the elements = 5.89 kcal/mol of atoms
1.0
-3.4287 -3.0165 -1.1769
3.4431 -1.3660 2.9187
-1.4192 0.8117 2.0540
Mo Cu Zr
1 1 1
Direct
0.6667 0.3333 0.2818
0.0000 0.0000 0.0379
0.3333 0.6667 0.6803